#i
VASP calculation (GGA-PBE) on an optimized crystal structure of SbOsCl3.

The spin magnetization is 0.0 μB/f.u. The calculation puts the density at 6.32 g cm⁻³.

Cell lengths 4.7908, 4.7908, 4.7908 Å; angles 90.00, 90.00, 90.00 degrees
Fractional coordinates of all 5 atoms:
Sb 0.5000 0.5000 0.5000
Cl 0.0000 0.0000 0.5000
Cl 0.5000 0.0000 0.0000
Cl 0.0000 0.5000 0.0000
Os 0.0000 0.0000 0.0000

=====

#ii
VASP calculation (GGA-PBE) on an optimized crystal structure of SbOsCl3.

The spin magnetization is 4.3 μB/f.u. The calculation puts the density at 4.47 g cm⁻³.

Cell lengths 5.3769, 5.3769, 5.3769 Å; angles 90.00, 90.00, 90.00 degrees
Fractional coordinates of all 5 atoms:
Sb 0.0000 0.0000 0.0000
Cl 0.0000 0.5000 0.0000
Cl 0.5000 0.0000 0.0000
Cl 0.0000 0.0000 0.5000
Os 0.5000 0.5000 0.5000

=====

Going by the energies, #i is most stable and the next is 456 meV per atom up.

=====

#i
VASP calculation (GGA-PBE) on an optimized crystal structure of ScOs3Cl.

The spin magnetization is 0.0 μB/f.u. The calculation puts the density at 12.79 g cm⁻³.

Cell lengths 4.3884, 4.3884, 4.3884 Å; angles 90.00, 90.00, 90.00 degrees
Fractional coordinates of all 5 atoms:
Os 0.5000 0.0000 0.0000
Os 0.0000 0.0000 0.5000
Os 0.0000 0.5000 0.0000
Sc 0.5000 0.5000 0.5000
Cl 0.0000 0.0000 0.0000

=====

#ii
VASP calculation (GGA-PBE) on an optimized crystal structure of ScOs3Cl.

The spin magnetization is 5.1 μB/f.u. The calculation puts the density at 9.74 g cm⁻³.

Cell lengths 4.8063, 4.8063, 4.8063 Å; angles 90.00, 90.00, 90.00 degrees
Fractional coordinates of all 5 atoms:
Os 0.0000 0.0000 0.5000
Os 0.0000 0.5000 0.0000
Os 0.5000 0.0000 0.0000
Cl 0.5000 0.5000 0.5000
Sc 0.0000 0.0000 0.0000

=====

Going by the energies, #i is most stable and the next is 1394 meV per atom up.